Record 1
The following is a GGA-PBE calculation of a relaxed Li6Mg2Al3 crystal, from Alexandria.

a = 11.4438 Å, b = 13.8779 Å, c = 2.9317 Å
α = 90.00°, β = 90.00°, γ = 90.00°
Space group Cmmm (No. 65)
One atom of each set of equivalent atoms:
Li: 0.1142 0.0000 0.0000
Li: 0.1604 0.3276 0.0000
Mg: 0.0000 0.1722 0.5000
Al: 0.0000 0.5000 0.0000
Al: 0.1935 0.5000 0.5000

Calculated values
The density of states at the Fermi level is 3.2 states/eV/f.u. The total energy comes out at -50.06 eV/cell. The volume comes out at 21.16 A^3/atom.

Record 2
The following is a GGA-PBE calculation of a relaxed Li6Mg8Al crystal, from Alexandria.

a = 7.7296 Å, b = 7.7296 Å, c = 6.4922 Å
α = 90.00°, β = 90.00°, γ = 120.00°
Space group P-3 (No. 147)
One atom of each set of equivalent atoms:
Li: 0.0733 0.4105 0.1291
Mg: 0.0325 0.2714 0.6739
Mg: 0.3333 0.6667 0.4902
Al: 0.0000 0.0000 0.0000

Calculated values
For the excess energy over the best structure of this formula in the dataset, the calculation gives 78 meV per atom. The density of states at the Fermi level is 7.1 states/eV/f.u. The total energy comes out at -27.15 eV/cell. The volume comes out at 22.40 A^3/atom.

Record 3
The following is a GGA-PBE calculation of a relaxed LiMg6Al crystal, from Alexandria.

a = 5.1007 Å, b = 6.2390 Å, c = 10.7387 Å
α = 90.00°, β = 90.00°, γ = 90.00°
Space group Amm2 (No. 38)
One atom of each set of equivalent atoms:
Li: 0.0000 0.0000 0.0000
Mg: 0.0000 0.2490 0.7509
Mg: 0.5000 0.0000 0.3347
Mg: 0.5000 0.0000 0.8343
Mg: 0.5000 0.2493 0.5811
Al: 0.0000 0.0000 0.5009

Calculated values
For the excess energy over the best structure of this formula in the dataset, the calculation gives 0 meV per atom. The density of states at the Fermi level is 3.0 states/eV/f.u. The total energy comes out at -30.66 eV/cell. The volume comes out at 21.36 A^3/atom.

Record 4
The following is a GGA-PBE calculation of a relaxed LiMgAl crystal, from Alexandria.

a = 3.3536 Å, b = 4.7534 Å, c = 14.0999 Å
α = 90.00°, β = 90.00°, γ = 90.00°
Space group Fmm2 (No. 42)
One atom of each set of equivalent atoms:
Li: 0.0000 0.0000 0.0000
Mg: 0.0000 0.0000 0.6732
Al: 0.0000 0.0000 0.3443

Calculated values
For the excess energy over the best structure of this formula in the dataset, the calculation gives 49 meV per atom. The density of states at the Fermi level is 1.1 states/eV/f.u. The total energy comes out at -29.08 eV/cell. The volume comes out at 18.73 A^3/atom.

Record 5
The following is a GGA-PBE calculation of a relaxed Li2MgAl crystal, from Alexandria.

a = 5.4197 Å, b = 2.8567 Å, c = 9.8949 Å
α = 90.00°, β = 103.06°, γ = 90.00°
Space group Cm (No. 8)
One atom of each set of equivalent atoms:
Li: 0.0000 0.0000 0.0000
Li: 0.1942 0.0000 0.4701
Mg: 0.0964 0.5000 0.7351
Al: 0.2873 0.5000 0.2348

Calculated values
The density of states at the Fermi level is 2.0 states/eV/f.u. The total energy comes out at -18.60 eV/cell. The volume comes out at 18.65 A^3/atom.

Record 6
The following is a GGA-PBE calculation of a relaxed LiMgAl2 crystal, from Alexandria.

a = 3.0088 Å, b = 3.0088 Å, c = 28.1233 Å
α = 90.00°, β = 90.00°, γ = 120.00°
Space group R3m (No. 160, hexagonal axes)
One atom of each set of equivalent atoms:
Li: 0.0000 0.0000 0.0000
Mg: 0.0000 0.0000 0.7561
Al: 0.0000 0.0000 0.2548
Al: 0.0000 0.0000 0.5095

Calculated values
The density of states at the Fermi level is 2.4 states/eV/f.u. The total energy comes out at -33.08 eV/cell. The volume comes out at 18.37 A^3/atom.

Record 7
The following is a GGA-PBE calculation of a relaxed Li4Mg3Al2 crystal, from Alexandria.

a = 10.0673 Å, b = 4.6416 Å, c = 7.1775 Å
α = 90.00°, β = 102.80°, γ = 90.00°
Space group C2/m (No. 12)
One atom of each set of equivalent atoms:
Li: 0.1603 0.0000 0.4931
Li: 0.2217 0.5000 0.8295
Mg: 0.0000 0.5000 0.5000
Mg: 0.1223 0.5000 0.1629
Al: 0.0592 0.0000 0.8368

Calculated values
The density of states at the Fermi level is 2.0 states/eV/f.u. The total energy comes out at -41.18 eV/cell. The volume comes out at 18.17 A^3/atom.

Record 8
The following is a GGA-PBE calculation of a relaxed LiMgAl crystal, from Alexandria.

a = 4.6515 Å, b = 4.6515 Å, c = 2.9283 Å
α = 90.00°, β = 90.00°, γ = 120.00°
Space group P3m1 (No. 156)
One atom of each set of equivalent atoms:
Li: 0.0000 0.0000 0.0000
Mg: 0.3333 0.6667 0.3599
Al: 0.6667 0.3333 0.7633

Calculated values
For the excess energy over the best structure of this formula in the dataset, the calculation gives 1 meV per atom. The density of states at the Fermi level is 1.4 states/eV/f.u. The total energy comes out at -7.41 eV/cell. The volume comes out at 18.29 A^3/atom.

Record 9
The following is a GGA-PBE calculation of a relaxed LiMgAl2 crystal, from Alexandria.

a = 4.0687 Å, b = 4.0846 Å, c = 8.5953 Å
α = 90.00°, β = 90.00°, γ = 90.00°
Space group Immm (No. 71)
One atom of each set of equivalent atoms:
Li: 0.0000 0.0000 0.0000
Mg: 0.0000 0.0000 0.5000
Al: 0.0000 0.5000 0.2502

Calculated values
The density of states at the Fermi level is 1.1 states/eV/f.u. The total energy comes out at -22.62 eV/cell. The volume comes out at 17.86 A^3/atom.

Record 10
The following is a GGA-PBE calculation of a relaxed Li7Mg3Al2 crystal, from Alexandria.

a = 4.6702 Å, b = 3.0899 Å, c = 16.1780 Å
α = 90.00°, β = 97.65°, γ = 90.00°
Space group P2/m (No. 10)
One atom of each set of equivalent atoms:
Li: 0.0000 0.0000 0.0000
Li: 0.0979 0.5000 0.1811
Li: 0.2716 0.5000 0.5450
Li: 0.4179 0.0000 0.8532
Mg: 0.1806 0.0000 0.3576
Mg: 0.5000 0.5000 0.0000
Al: 0.3527 0.5000 0.7139

Calculated values
For the excess energy over the best structure of this formula in the dataset, the calculation gives 0 meV per atom. The density of states at the Fermi level is 4.9 states/eV/f.u. The total energy comes out at -25.92 eV/cell. The volume comes out at 19.28 A^3/atom.

Record 11
The following is a GGA-PBE calculation of a relaxed Li2Mg4Al crystal, from Alexandria.

a = 6.0043 Å, b = 6.0566 Å, c = 8.0990 Å
α = 90.00°, β = 90.00°, γ = 90.00°
Space group Immm (No. 71)
One atom of each set of equivalent atoms:
Li: 0.2016 0.0000 0.0000
Mg: 0.0000 0.2394 0.3055
Al: 0.0000 0.5000 0.0000

Calculated values
For the excess energy over the best structure of this formula in the dataset, the calculation gives 97 meV per atom. The density of states at the Fermi level is 2.7 states/eV/f.u. The total energy comes out at -26.54 eV/cell. The volume comes out at 21.04 A^3/atom.

Record 12
The following is a GGA-PBE calculation of a relaxed Li6MgAl12 crystal, from Alexandria.

a = 11.7362 Å, b = 11.7362 Å, c = 8.9009 Å
α = 90.00°, β = 90.00°, γ = 120.00°
Space group R-3m (No. 166, hexagonal axes)
One atom of each set of equivalent atoms:
Li: 0.0681 0.5340 0.2320
Mg: 0.0000 0.0000 0.0000
Al: 0.0000 0.3867 0.5000
Al: 0.0809 0.1619 0.2748

Calculated values
The density of states at the Fermi level is 8.6 states/eV/f.u. The total energy comes out at -166.25 eV/cell. The volume comes out at 18.63 A^3/atom.

Record 13
The following is a GGA-PBE calculation of a relaxed Li2MgAl crystal, from Alexandria.

a = 3.1338 Å, b = 3.1338 Å, c = 7.1813 Å
α = 90.00°, β = 90.00°, γ = 90.00°
Space group P4/mmm (No. 123)
One atom of each set of equivalent atoms:
Li: 0.0000 0.0000 0.2321
Mg: 0.5000 0.5000 0.5000
Al: 0.5000 0.5000 0.0000

Calculated values
The density of states at the Fermi level is 1.3 states/eV/f.u. The total energy comes out at -9.51 eV/cell. The volume comes out at 17.63 A^3/atom.

Record 14
The following is a GGA-PBE calculation of a relaxed Li2MgAl crystal, from Alexandria.

a = 2.8554 Å, b = 4.4217 Å, c = 5.8656 Å
α = 90.00°, β = 90.00°, γ = 90.00°
Space group Pmm2 (No. 25)
One atom of each set of equivalent atoms:
Li: 0.0000 0.0000 0.0000
Li: 0.5000 0.5000 0.2574
Mg: 0.0000 0.0000 0.5185
Al: 0.5000 0.5000 0.7676

Calculated values
The density of states at the Fermi level is 1.3 states/eV/f.u. The total energy comes out at -9.43 eV/cell. The volume comes out at 18.51 A^3/atom.

Record 15
The following is a GGA-PBE calculation of a relaxed Li2MgAl crystal, from Alexandria.

a = 6.7384 Å, b = 9.0977 Å, c = 4.5211 Å
α = 90.00°, β = 90.00°, γ = 90.00°
Space group Cmcm (No. 63)
One atom of each set of equivalent atoms:
Li: 0.2462 0.1242 0.2500
Mg: 0.0000 0.3685 0.2500
Al: 0.0000 0.1177 0.7500

Calculated values
The density of states at the Fermi level is 0.8 states/eV/f.u. The total energy comes out at -38.13 eV/cell. The volume comes out at 17.32 A^3/atom.

Record 16
The following is a GGA-PBE calculation of a relaxed Li2MgAl crystal, from Alexandria.

a = 3.3221 Å, b = 4.6765 Å, c = 9.4157 Å
α = 90.00°, β = 90.00°, γ = 90.00°
Space group Immm (No. 71)
One atom of each set of equivalent atoms:
Li: 0.0000 0.0000 0.2392
Mg: 0.0000 0.5000 0.0000
Al: 0.0000 0.5000 0.5000

Calculated values
The density of states at the Fermi level is 1.2 states/eV/f.u. The total energy comes out at -18.93 eV/cell. The volume comes out at 18.29 A^3/atom.

Record 17
The following is a GGA-PBE calculation of a relaxed Li5Mg4Al2 crystal, from Alexandria.

a = 15.6442 Å, b = 4.7095 Å, c = 5.5293 Å
α = 90.00°, β = 90.60°, γ = 90.00°
Space group C2/m (No. 12)
One atom of each set of equivalent atoms:
Li: 0.0000 0.0000 0.0000
Li: 0.1347 0.5000 0.7957
Li: 0.2290 0.5000 0.3776
Mg: 0.0480 0.5000 0.2626
Mg: 0.1817 0.0000 0.0784
Al: 0.0894 0.0000 0.5535

Calculated values
For the excess energy over the best structure of this formula in the dataset, the calculation gives 0 meV per atom. The density of states at the Fermi level is 3.0 states/eV/f.u. The total energy comes out at -48.68 eV/cell. The volume comes out at 18.52 A^3/atom.

Record 18
The following is a GGA-PBE calculation of a relaxed Li12MgAl6 crystal, from Alexandria.

a = 10.9357 Å, b = 10.9357 Å, c = 9.5227 Å
α = 90.00°, β = 90.00°, γ = 120.00°
Space group R-3m (No. 166, hexagonal axes)
One atom of each set of equivalent atoms:
Li: 0.0000 0.2607 0.0000
Li: 0.0607 0.5304 0.1192
Mg: 0.0000 0.0000 0.0000
Al: 0.0853 0.1706 0.7454

Calculated values
The density of states at the Fermi level is 4.5 states/eV/f.u. The total energy comes out at -144.01 eV/cell. The volume comes out at 17.30 A^3/atom.

Record 19
The following is a GGA-PBE calculation of a relaxed Li5Mg4Al crystal, from Alexandria.

a = 14.6553 Å, b = 2.9708 Å, c = 9.8537 Å
α = 90.00°, β = 109.09°, γ = 90.00°
Space group C2/m (No. 12)
One atom of each set of equivalent atoms:
Li: 0.0000 0.0000 0.0000
Li: 0.1906 0.5000 0.0856
Li: 0.1980 0.5000 0.6123
Mg: 0.0933 0.5000 0.3025
Mg: 0.1059 0.0000 0.8037
Al: 0.0000 0.0000 0.5000

Calculated values
For the excess energy over the best structure of this formula in the dataset, the calculation gives 0 meV per atom. The density of states at the Fermi level is 3.7 states/eV/f.u. The total energy comes out at -39.56 eV/cell. The volume comes out at 20.27 A^3/atom.

Record 20
The following is a GGA-PBE calculation of a relaxed LiMg14Al crystal, from Alexandria.

a = 6.4686 Å, b = 6.4686 Å, c = 8.5123 Å
α = 90.00°, β = 90.00°, γ = 90.00°
Space group P4/mmm (No. 123)
One atom of each set of equivalent atoms:
Li: 0.0000 0.0000 0.0000
Mg: 0.0000 0.0000 0.5000
Mg: 0.0000 0.5000 0.0000
Mg: 0.0000 0.5000 0.5000
Mg: 0.2503 0.2503 0.2426
Mg: 0.5000 0.5000 0.5000
Al: 0.5000 0.5000 0.0000

Calculated values
For the excess energy over the best structure of this formula in the dataset, the calculation gives 6 meV per atom. The density of states at the Fermi level is 5.3 states/eV/f.u. The total energy comes out at -27.97 eV/cell. The volume comes out at 22.26 A^3/atom.

Number 1: E_form 79 meV/atom. Number 2: E_form 55 meV/atom. Number 3: E_form -13 meV/atom. Number 4: E_form -6 meV/atom. Number 5: E_form -34 meV/atom. Number 6: E_form -8 meV/atom. Number 7: E_form -74 meV/atom. Number 8: E_form -53 meV/atom. Number 9: E_form -79 meV/atom. Number 10: E_form -21 meV/atom. Number 11: E_form 97 meV/atom. Number 12: E_form 135 meV/atom. Number 13: E_form -87 meV/atom. Number 14: E_form -65 meV/atom. Number 15: E_form -92 meV/atom. Number 16: E_form -75 meV/atom. Number 17: E_form -83 meV/atom. Number 18: E_form -52 meV/atom. Number 19: E_form -9 meV/atom. Number 20: E_form 1 meV/atom.